Run A
Below is crystalline MnAl2FeH at its relaxed geometry, with properties calculated at the PBE level. Values from VASP.

Values from the calculation:
* DOS at the Fermi energy: 0.47 states/eV per atom
* M_tot: 0.467 μB per atom

The structure in Quantum ESPRESSO input format:
```
&SYSTEM
  ibrav = 0, nat = 5, ntyp = 4
/
ATOMIC_SPECIES
Fe 55.84 Fe.upf
Al 26.98 Al.upf
Mn 54.94 Mn.upf
H 1.01 H.upf
CELL_PARAMETERS angstrom
4.0916 0.0000 0.0000
0.0000 4.0916 0.0000
0.0000 0.0000 3.1213
ATOMIC_POSITIONS crystal
Fe 0.0000 0.0000 0.5000
Al 0.0000 0.5000 0.0000
Mn 0.5000 0.5000 0.5000
H 0.0000 0.0000 0.0000
Al 0.5000 0.0000 0.0000
```

***

Run B
Below is crystalline MnAl2FeH at its relaxed geometry, with properties calculated at the PBE level. Values from VASP.

Values from the calculation:
* DOS at the Fermi energy: 0.69 states/eV per atom
* M_tot: 0.445 μB per atom

The structure in Quantum ESPRESSO input format:
```
&SYSTEM
  ibrav = 0, nat = 5, ntyp = 4
/
ATOMIC_SPECIES
Mn 54.94 Mn.upf
H 1.01 H.upf
Fe 55.84 Fe.upf
Al 26.98 Al.upf
CELL_PARAMETERS angstrom
-0.5444 -1.4558 3.7194
1.6064 -3.5166 -1.1413
2.9023 1.0541 0.8374
ATOMIC_POSITIONS crystal
Mn 0.0000 0.0000 0.5000
H 0.0000 0.0000 0.0000
Fe 0.5000 0.5000 0.5000
Al 0.0000 0.5000 0.0000
Al 0.5000 0.0000 0.0000
```

***

Energy above the most stable structure, in kJ/mol of atoms: run A 0.0; run B 2.7

***

Run A
Below is crystalline AlFe2MoH at its relaxed geometry, with properties calculated at the PBE level. Values from VASP.

Values from the calculation:
* DOS at the Fermi energy: 0.74 states/eV per atom
* M_tot: 0.985 μB per atom

The structure in Quantum ESPRESSO input format:
```
&SYSTEM
  ibrav = 0, nat = 5, ntyp = 4
/
ATOMIC_SPECIES
Fe 55.84 Fe.upf
Al 26.98 Al.upf
Mo 95.94 Mo.upf
H 1.01 H.upf
CELL_PARAMETERS angstrom
3.7314 0.0000 0.0000
0.0000 3.7314 0.0000
0.0000 0.0000 4.0225
ATOMIC_POSITIONS crystal
Fe 0.0000 0.5000 0.0000
Al 0.5000 0.5000 0.5000
Fe 0.5000 0.0000 0.0000
Mo 0.0000 0.0000 0.5000
H 0.0000 0.0000 0.0000
```

***

Run B
Below is crystalline AlFe2MoH at its relaxed geometry, with properties calculated at the PBE level. Values from VASP.

Values from the calculation:
* DOS at the Fermi energy: 0.59 states/eV per atom
* M_tot: 0.809 μB per atom

The structure in Quantum ESPRESSO input format:
```
&SYSTEM
  ibrav = 0, nat = 5, ntyp = 4
/
ATOMIC_SPECIES
Al 26.98 Al.upf
Mo 95.94 Mo.upf
Fe 55.84 Fe.upf
H 1.01 H.upf
CELL_PARAMETERS angstrom
-3.4189 -1.2587 -0.2526
1.2918 -3.0036 -2.5173
0.5840 -2.1647 2.8827
ATOMIC_POSITIONS crystal
Al 0.0000 0.5000 0.0000
Mo 0.5000 0.5000 0.5000
Fe 0.0000 0.0000 0.5000
H 0.0000 0.0000 0.0000
Fe 0.5000 0.0000 0.0000
```

***

Energy above the most stable structure, in kJ/mol of atoms: run A 0.0; run B 9.8